First-principles (PBE) data for crystalline LuAgSnS3 at its relaxed geometry, as listed in OQMD via LeMat-Bulk. Values from VASP.

- total energy (eV/atom) = -4.8961
- energy above the most stable polymorph in this dataset (kJ/mol of formula units) = 0
- density (g/cm³) = 6.1
- total moment (μB/atom) = 0.0005
- SG = Pnma

The structure in Quantum ESPRESSO input format:
```
&SYSTEM
  ibrav = 0, nat = 24, ntyp = 4
/
ATOMIC_SPECIES
S 32.06 S.upf
Lu 174.97 Lu.upf
Sn 118.71 Sn.upf
Ag 107.87 Ag.upf
ATOMIC_POSITIONS angstrom
S -11.859 -0.728 -6.197
Lu -11.035 -2.322 -8.392
S -3.345 -4.997 -8.350
Sn -0.809 -1.743 -1.379
S -3.286 -3.028 -0.941
Lu -10.458 0.175 -3.851
S -12.532 -0.701 -2.485
S -9.321 -2.330 -3.330
Sn -7.457 -2.109 -5.921
Ag -10.967 -0.171 -0.669
Lu -4.687 -3.932 -3.288
S -11.801 1.240 1.212
Ag -4.178 -3.586 -6.469
S -6.326 -4.661 -5.483
S -9.964 -4.301 -7.027
Ag -10.854 -2.910 -5.211
Sn -7.689 -1.648 -1.218
Ag -4.291 -0.847 -1.927
S -5.824 -1.427 -3.808
Sn -14.336 -2.013 -5.759
S -5.182 0.545 -0.112
S -2.613 -3.056 -4.654
Lu -4.110 -1.435 1.254
S -8.819 0.904 -1.656
CELL_PARAMETERS angstrom
-1.688 -4.806 -9.084
-1.148 -3.271 1.944
-12.309 4.321 0.001
```

First-principles (PBE) data for crystalline In2Au at its relaxed geometry, as listed in OQMD via LeMat-Bulk. Values from VASP.

- total energy (eV/atom) = -2.6118
- density (g/cm³) = 9.5
- SG = Fd-3m

The structure in Quantum ESPRESSO input format:
```
&SYSTEM
  ibrav = 0, nat = 6, ntyp = 2
/
ATOMIC_SPECIES
In 114.82 In.upf
Au 196.97 Au.upf
ATOMIC_POSITIONS angstrom
In -4.717 -1.426 -4.835
In -4.242 1.486 -5.240
In -6.128 0.564 -3.128
In -6.858 0.284 -6.001
Au 0.000 0.000 0.000
Au -2.743 0.113 -2.400
CELL_PARAMETERS angstrom
-5.231 -2.404 -1.523
-4.282 3.419 -2.332
-1.459 -0.561 -5.746
```

What did the first record say?
First-principles (PBE) data for crystalline LuAgSnS3 at its relaxed geometry, as listed in OQMD via LeMat-Bulk. Values from VASP.

- total energy (eV/atom) = -4.8961
- energy above the most stable polymorph in this dataset (kJ/mol of formula units) = 0
- density (g/cm³) = 6.1
- total moment (μB/atom) = 0.0005
- SG = Pnma

The structure in Quantum ESPRESSO input format:
```
&SYSTEM
  ibrav = 0, nat = 24, ntyp = 4
/
ATOMIC_SPECIES
S 32.06 S.upf
Lu 174.97 Lu.upf
Sn 118.71 Sn.upf
Ag 107.87 Ag.upf
ATOMIC_POSITIONS angstrom
S -11.859 -0.728 -6.197
Lu -11.035 -2.322 -8.392
S -3.345 -4.997 -8.350
Sn -0.809 -1.743 -1.379
S -3.286 -3.028 -0.941
Lu -10.458 0.175 -3.851
S -12.532 -0.701 -2.485
S -9.321 -2.330 -3.330
Sn -7.457 -2.109 -5.921
Ag -10.967 -0.171 -0.669
Lu -4.687 -3.932 -3.288
S -11.801 1.240 1.212
Ag -4.178 -3.586 -6.469
S -6.326 -4.661 -5.483
S -9.964 -4.301 -7.027
Ag -10.854 -2.910 -5.211
Sn -7.689 -1.648 -1.218
Ag -4.291 -0.847 -1.927
S -5.824 -1.427 -3.808
Sn -14.336 -2.013 -5.759
S -5.182 0.545 -0.112
S -2.613 -3.056 -4.654
Lu -4.110 -1.435 1.254
S -8.819 0.904 -1.656
CELL_PARAMETERS angstrom
-1.688 -4.806 -9.084
-1.148 -3.271 1.944
-12.309 4.321 0.001
```

What did the second record say?
First-principles (PBE) data for crystalline In2Au at its relaxed geometry, as listed in OQMD via LeMat-Bulk. Values from VASP.

- total energy (eV/atom) = -2.6118
- density (g/cm³) = 9.5
- SG = Fd-3m

The structure in Quantum ESPRESSO input format:
```
&SYSTEM
  ibrav = 0, nat = 6, ntyp = 2
/
ATOMIC_SPECIES
In 114.82 In.upf
Au 196.97 Au.upf
ATOMIC_POSITIONS angstrom
In -4.717 -1.426 -4.835
In -4.242 1.486 -5.240
In -6.128 0.564 -3.128
In -6.858 0.284 -6.001
Au 0.000 0.000 0.000
Au -2.743 0.113 -2.400
CELL_PARAMETERS angstrom
-5.231 -2.404 -1.523
-4.282 3.419 -2.332
-1.459 -0.561 -5.746
```

Q: What is the total energy in the second record?
A: -2.6118 eV/atom

Q: Which value of total energy does entry 2 give?
A: -2.6118 eV/atom